[1]
Computed, not measured: a relaxed structure of AcLa3Tb7 at the PBE level of DFT.

The structure in extended XYZ format:
```
11
Lattice="5.9271 -5.0553 0.0000 5.9271 5.0553 0.0000 -0.5467 0.0000 6.5661" Properties=species:S:1:pos:R:3 pbc="T T T"
Ac 0.0000 0.0000 0.0000
La 5.6538 1.8173 3.2831
La 5.9271 0.0000 0.0000
La 5.6538 -1.8173 3.2831
Tb -0.2733 0.0000 3.2831
Tb 2.4951 1.7381 4.9848
Tb 2.9762 0.0000 1.9656
Tb 2.4951 -1.7381 4.9848
Tb 8.8125 1.7381 1.5813
Tb 8.3313 0.0000 4.6005
Tb 8.8125 -1.7381 1.5813
```

Calculated values
density of states at the Fermi level: 17.0 states/eV/f.u.
energy: -4.46 eV per atom
E_form: 0.21 eV per atom

[2]
Computed, not measured: a relaxed structure of Ac3La2Tb3 at the PBE level of DFT.

The structure in extended XYZ format:
```
16
Lattice="10.2244 0.0000 0.0000 -5.1122 8.8546 0.0000 0.0000 0.0000 6.8475" Properties=species:S:1:pos:R:3 pbc="T T T"
Ac -1.1865 2.0551 1.7119
Ac -3.9257 6.7995 5.1356
Ac 2.3731 0.0000 1.7119
Ac 1.1865 2.0551 5.1356
Ac 7.8513 0.0000 5.1356
Ac 3.9257 6.7995 1.7119
La 0.0000 5.9031 0.0000
La 0.0000 5.9031 3.4238
La 5.1122 2.9515 0.0000
La 5.1122 2.9515 3.4238
Tb -2.1104 3.6553 5.1356
Tb -3.0018 5.1993 1.7119
Tb 4.2208 0.0000 5.1356
Tb 2.1104 3.6553 1.7119
Tb 6.0036 0.0000 1.7119
Tb 3.0018 5.1993 5.1356
```

Calculated values
density of states at the Fermi level: 15.7 states/eV/f.u.
energy: -4.33 eV per atom
E_form: 0.18 eV per atom

[3]
Computed, not measured: a relaxed structure of AcLa5Tb6 at the PBE level of DFT.

The structure in extended XYZ format:
```
12
Lattice="-2.6383 5.0571 7.8717 2.6383 -5.0571 7.8717 2.6383 5.0571 -7.8717" Properties=species:S:1:pos:R:3 pbc="T T T"
Ac 0.0000 0.0000 0.0000
La 2.6383 0.0000 2.6490
La 0.0000 0.0000 5.2456
La 0.0000 5.0571 0.0000
La 0.0000 0.0000 10.4979
La 0.0000 5.0571 5.2228
Tb 2.6383 -2.5094 5.2334
Tb 2.6383 2.5661 0.0000
Tb 0.0000 2.5476 2.6383
Tb 2.6383 2.5094 5.2334
Tb 0.0000 2.4910 7.8717
Tb 0.0000 7.5665 2.6383
```

Calculated values
density of states at the Fermi level: 17.0 states/eV/f.u.
energy: -4.69 eV per atom
E_form: 0.03 eV per atom

[4]
Computed, not measured: a relaxed structure of Ac2La5Tb3 at the PBE level of DFT.

The structure in extended XYZ format:
```
20
Lattice="5.5915 -7.3885 0.0000 5.5915 7.3885 0.0000 -5.5761 0.0000 9.0541" Properties=species:S:1:pos:R:3 pbc="T T T"
Ac 1.4311 1.8808 0.5114
Ac -1.3570 -1.8808 5.0384
Ac 6.9639 1.8808 4.0157
Ac 4.1759 -1.8808 8.5427
La 1.4095 7.0145 6.7906
La -1.3840 1.8884 6.7533
La 1.4095 3.8950 6.7906
La 1.4040 -1.8884 2.2262
La 4.1975 0.1946 2.2635
La 1.4095 -0.1946 6.7906
La 4.2029 1.8884 6.8279
La 4.1975 -3.8950 2.2635
La 6.9909 -1.8884 2.3008
La 4.1975 -7.0145 2.2635
Tb 1.4612 1.8522 3.9917
Tb 4.1975 3.3518 2.2635
Tb -1.3268 -1.8522 8.5188
Tb 6.9337 1.8522 0.5353
Tb 1.4095 -3.3518 6.7906
Tb 4.1457 -1.8522 5.0624
```

Calculated values
density of states at the Fermi level: 17.7 states/eV/f.u.
energy: -4.50 eV per atom
E_form: 0.17 eV per atom

[5]
Computed, not measured: a relaxed structure of Ac3LaTb at the PBE level of DFT.

The structure in extended XYZ format:
```
10
Lattice="10.0028 -1.9392 0.0000 10.0028 1.9392 0.0000 -2.8517 0.0000 10.5022" Properties=species:S:1:pos:R:3 pbc="T T T"
Ac -0.6638 0.0000 2.5196
Ac 1.6397 0.0000 8.8915
Ac 6.6485 0.0000 4.7885
Ac 10.5054 0.0000 5.7137
Ac 15.5141 0.0000 1.6108
Ac 17.8177 0.0000 7.9827
La 5.2467 0.0000 9.9210
La 11.9072 0.0000 0.5812
Tb 3.0278 0.0000 3.7210
Tb 14.1260 0.0000 6.7812
```

Calculated values
density of states at the Fermi level: 9.4 states/eV/f.u.
energy: -4.33 eV per atom
E_form: 0.04 eV per atom

[6]
Computed, not measured: a relaxed structure of Ac12La3Tb at the PBE level of DFT.

The structure in extended XYZ format:
```
16
Lattice="5.5503 0.0000 0.0000 0.0000 5.5503 0.0000 0.0000 0.0000 22.1569" Properties=species:S:1:pos:R:3 pbc="T T T"
Ac 0.0000 0.0000 0.0000
Ac 0.0000 0.0000 5.4997
Ac 0.0000 0.0000 11.0785
Ac 0.0000 0.0000 16.6572
Ac 0.0000 2.7751 2.7211
Ac 0.0000 2.7751 8.2923
Ac 0.0000 2.7751 13.8646
Ac 0.0000 2.7751 19.4359
Ac 2.7751 0.0000 2.7211
Ac 2.7751 0.0000 8.2923
Ac 2.7751 0.0000 13.8646
Ac 2.7751 0.0000 19.4359
La 2.7751 2.7751 5.5048
La 2.7751 2.7751 11.0785
La 2.7751 2.7751 16.6522
Tb 2.7751 2.7751 0.0000
```

Calculated values
density of states at the Fermi level: 29.3 states/eV/f.u.
energy: -4.27 eV per atom
E_form: 0.02 eV per atom

[7]
Computed, not measured: a relaxed structure of AcLaTb at the PBE level of DFT.

The structure in extended XYZ format:
```
6
Lattice="3.7922 0.0000 0.0000 0.0000 5.3125 0.0000 0.0000 0.0000 11.2549" Properties=species:S:1:pos:R:3 pbc="T T T"
Ac 0.0000 0.0000 0.0000
Ac 1.8961 2.6563 5.6274
La 0.0000 0.0000 3.7298
La 1.8961 2.6563 9.3572
Tb 0.0000 0.0000 7.5224
Tb 1.8961 2.6563 1.8950
```

Calculated values
density of states at the Fermi level: 4.7 states/eV/f.u.
energy: -4.52 eV per atom
E_form: 0.04 eV per atom

[8]
Computed, not measured: a relaxed structure of Ac2La4Tb3 at the PBE level of DFT.

The structure in extended XYZ format:
```
9
Lattice="0.0000 6.2514 8.3088 3.2486 0.0000 8.3088 3.2486 6.2514 0.0000" Properties=species:S:1:pos:R:3 pbc="T T T"
Ac 3.2486 6.2514 1.9079
Ac 3.2486 6.2514 14.7096
La 3.2486 4.4043 5.2068
La 3.2486 8.0985 5.2068
La 3.2486 4.4043 11.4108
La 3.2486 8.0985 11.4108
Tb 1.6243 3.1257 0.0000
Tb 1.6243 3.1257 8.3088
Tb 3.2486 6.2514 8.3088
```

Calculated values
density of states at the Fermi level: 17.8 states/eV/f.u.
energy: -4.51 eV per atom
E_form: 0.14 eV per atom

[9]
Computed, not measured: a relaxed structure of AcLaTb at the PBE level of DFT.

The structure in extended XYZ format:
```
6
Lattice="3.8122 0.0000 0.0000 0.0000 3.8122 0.0000 0.0000 0.0000 15.6821" Properties=species:S:1:pos:R:3 pbc="T T T"
Ac 0.0000 0.0000 0.0000
Ac 1.9061 1.9061 7.8411
La 0.0000 0.0000 5.0849
La 1.9061 1.9061 12.9260
Tb 0.0000 0.0000 10.4671
Tb 1.9061 1.9061 2.6261
```

Calculated values
density of states at the Fermi level: 5.7 states/eV/f.u.
energy: -4.51 eV per atom
E_form: 0.04 eV per atom

[10]
Computed, not measured: a relaxed structure of Ac2LaTb at the PBE level of DFT.

The structure in extended XYZ format:
```
12
Lattice="3.7518 0.0000 0.0000 -1.8759 3.2491 0.0000 0.0000 0.0000 39.6997" Properties=species:S:1:pos:R:3 pbc="T T T"
Ac 0.0000 0.0000 3.4710
Ac 0.0000 0.0000 36.2287
Ac 0.0000 2.1661 22.9954
Ac 0.0000 2.1661 29.9375
Ac 1.8759 1.0830 9.7622
Ac 1.8759 1.0830 16.7043
La 0.0000 0.0000 19.8498
La 0.0000 2.1661 6.6166
La 1.8759 1.0830 33.0831
Tb 0.0000 0.0000 0.0000
Tb 0.0000 2.1661 26.4665
Tb 1.8759 1.0830 13.2332
```

Calculated values
density of states at the Fermi level: 6.8 states/eV/f.u.
energy: -4.22 eV per atom
E_form: 0.22 eV per atom

[11]
Computed, not measured: a relaxed structure of Ac3LaTb at the PBE level of DFT.

The structure in extended XYZ format:
```
20
Lattice="6.6543 0.0000 0.0000 0.0000 9.5245 0.0000 0.0000 0.0000 13.2061" Properties=species:S:1:pos:R:3 pbc="T T T"
Ac 0.5489 1.6319 0.9838
Ac 0.5489 3.1304 5.6193
Ac 0.8505 2.3811 9.9046
Ac 2.4766 7.1434 9.9046
Ac 2.7783 6.3941 5.6193
Ac 2.7783 7.8927 0.9838
Ac 3.8760 1.6319 12.2223
Ac 3.8760 3.1304 7.5868
Ac 4.1777 2.3811 3.3015
Ac 5.8037 7.1434 3.3015
Ac 6.1054 6.3941 7.5868
Ac 6.1054 7.8927 12.2223
La 1.6636 0.0000 7.3707
La 1.6636 4.7623 12.4385
La 4.9907 0.0000 5.8354
La 4.9907 4.7623 0.7676
Tb 1.6636 0.0000 4.0337
Tb 1.6636 4.7623 2.5693
Tb 4.9907 0.0000 9.1724
Tb 4.9907 4.7623 10.6368
```

Calculated values
density of states at the Fermi level: 7.5 states/eV/f.u.
energy: -4.21 eV per atom
E_form: 0.17 eV per atom

[12]
Computed, not measured: a relaxed structure of Ac12La7Tb at the PBE level of DFT.

The structure in extended XYZ format:
```
20
Lattice="8.0651 4.6564 3.7172 -8.0651 4.6564 3.7172 0.0000 -9.3127 3.7172" Properties=species:S:1:pos:R:3 pbc="T T T"
Ac -1.9059 -2.1103 2.7347
Ac -3.6813 0.6326 4.7716
Ac -0.8746 2.7057 2.7347
Ac -2.3885 -2.8718 6.3801
Ac 1.2928 -3.5044 4.7716
Ac 2.7805 -0.5954 2.7347
Ac -2.7805 0.5954 8.4170
Ac -1.2928 3.5044 6.3801
Ac 2.3885 2.8718 4.7716
Ac 0.8746 -2.7057 8.4170
Ac 3.6812 -0.6326 6.3801
Ac 1.9059 2.1102 8.4170
La -7.2187 1.2445 4.5513
La -4.6871 -5.6293 6.6003
La 2.5315 -6.8738 4.5514
La 0.0000 0.0000 5.5758
La -2.5315 6.8738 6.6003
La 4.6871 5.6293 4.5513
La 7.2186 -1.2445 6.6003
Tb 0.0000 0.0000 0.0000
```

Calculated values
density of states at the Fermi level: 33.8 states/eV/f.u.
energy: -4.30 eV per atom
E_form: 0.12 eV per atom

[13]
Computed, not measured: a relaxed structure of AcLaTb3 at the PBE level of DFT.

The structure in extended XYZ format:
```
20
Lattice="9.5473 0.0000 0.0000 0.0000 6.4839 0.0000 -5.1113 0.0000 11.5653" Properties=species:S:1:pos:R:3 pbc="T T T"
Ac 0.9447 1.1196 1.1870
Ac -1.6109 2.1223 6.9697
Ac 6.0469 4.3616 4.5956
Ac 3.4912 5.3643 10.3783
La 2.4955 4.3180 0.0168
La -0.0602 5.4079 5.7995
La 4.4961 1.0760 5.7659
La 1.9405 2.1659 11.5485
Tb -0.5588 4.3079 2.3526
Tb -3.1145 5.4180 8.1353
Tb -1.2432 1.0440 10.4148
Tb 1.3125 2.1980 4.6322
Tb 0.1796 4.3709 9.2449
Tb 2.7352 5.3550 3.4623
Tb 1.7007 1.1289 8.1031
Tb 4.2564 2.1130 2.3204
Tb 3.1235 4.2859 6.9332
Tb 5.6792 5.4400 1.1505
Tb 7.5505 1.0659 3.4300
Tb 4.9948 2.1760 9.2127
```

Calculated values
density of states at the Fermi level: 8.9 states/eV/f.u.
energy: -4.54 eV per atom
E_form: 0.05 eV per atom

[14]
Computed, not measured: a relaxed structure of Ac5LaTb4 at the PBE level of DFT.

The structure in extended XYZ format:
```
10
Lattice="9.6685 -2.7320 0.0000 9.6685 2.7320 0.0000 -1.7974 0.0000 7.2957" Properties=species:S:1:pos:R:3 pbc="T T T"
Ac 0.0000 0.0000 0.0000
Ac 2.8026 0.0000 4.3984
Ac 7.3511 0.0000 1.4202
Ac 10.1885 0.0000 5.8755
Ac 14.7369 0.0000 2.8973
La -0.8987 0.0000 3.6478
Tb 3.6665 0.0000 0.7378
Tb 6.4641 0.0000 5.0908
Tb 11.0754 0.0000 2.2049
Tb 13.8731 0.0000 6.5579
```

Calculated values
density of states at the Fermi level: 14.6 states/eV/f.u.
energy: -4.36 eV per atom
E_form: 0.04 eV per atom

[15]
Computed, not measured: a relaxed structure of Ac4La4Tb at the PBE level of DFT.

The structure in extended XYZ format:
```
9
Lattice="-5.7578 5.7578 2.7071 5.7578 -5.7578 2.7071 5.7578 5.7578 -2.7071" Properties=species:S:1:pos:R:3 pbc="T T T"
Ac 1.9019 1.9019 0.0000
Ac 3.8559 -3.8559 2.7071
Ac -3.8559 3.8559 2.7071
Ac 3.8559 3.8559 2.7071
La 5.7578 1.8739 0.0000
La 1.8739 5.7578 0.0000
La 3.8839 0.0000 2.7071
La 0.0000 3.8839 2.7071
Tb 0.0000 0.0000 2.7071
```

Calculated values
density of states at the Fermi level: 17.4 states/eV/f.u.
energy: -4.50 eV per atom
E_form: 0.03 eV per atom

[16]
Computed, not measured: a relaxed structure of Ac5La2Tb at the PBE level of DFT.

The structure in extended XYZ format:
```
16
Lattice="1.8416 -9.4201 0.0000 1.8416 9.4201 0.0000 0.0000 0.0000 19.9114" Properties=species:S:1:pos:R:3 pbc="T T T"
Ac 1.8416 9.1051 13.1153
Ac 1.8416 9.1051 16.7519
Ac 1.8416 6.4550 4.9779
Ac 1.8416 4.6427 11.7065
Ac 1.8416 4.6427 18.1606
Ac 1.8416 -4.6427 1.7508
Ac 1.8416 -4.6427 8.2049
Ac 1.8416 -6.4550 14.9336
Ac 1.8416 -9.1051 3.1596
Ac 1.8416 -9.1051 6.7961
La 1.8416 7.7522 0.2001
La 1.8416 7.7522 9.7556
La 1.8416 -7.7522 10.1558
La 1.8416 -7.7522 19.7113
Tb 1.8416 6.0827 14.9336
Tb 1.8416 -6.0827 4.9779
```

Calculated values
density of states at the Fermi level: 13.0 states/eV/f.u.
energy: -4.06 eV per atom
E_form: 0.32 eV per atom

[17]
Computed, not measured: a relaxed structure of AcLaTb at the PBE level of DFT.

The structure in extended XYZ format:
```
6
Lattice="4.3107 0.0000 0.0000 0.0000 4.3107 0.0000 0.0000 0.0000 12.2967" Properties=species:S:1:pos:R:3 pbc="T T T"
Ac 1.0777 1.0777 1.2850
Ac 3.2330 3.2330 11.0117
La 1.0777 1.0777 5.1068
La 3.2330 3.2330 7.1899
Tb 1.0777 1.0777 8.8960
Tb 3.2330 3.2330 3.4006
```

Calculated values
density of states at the Fermi level: 6.3 states/eV/f.u.
energy: -4.45 eV per atom
E_form: 0.11 eV per atom

[18]
Computed, not measured: a relaxed structure of Ac9LaTb2 at the PBE level of DFT.

The structure in extended XYZ format:
```
12
Lattice="5.5130 0.0000 0.0000 0.0000 5.5130 0.0000 0.0000 0.0000 16.5787" Properties=species:S:1:pos:R:3 pbc="T T T"
Ac 0.0000 0.0000 0.0000
Ac 0.0000 0.0000 5.5548
Ac 0.0000 0.0000 11.0239
Ac 0.0000 2.7565 2.8079
Ac 0.0000 2.7565 8.2893
Ac 0.0000 2.7565 13.7708
Ac 2.7565 0.0000 2.8079
Ac 2.7565 0.0000 8.2893
Ac 2.7565 0.0000 13.7708
La 2.7565 2.7565 0.0000
Tb 2.7565 2.7565 5.5462
Tb 2.7565 2.7565 11.0325
```

Calculated values
density of states at the Fermi level: 20.3 states/eV/f.u.
energy: -4.23 eV per atom
E_form: 0.03 eV per atom

[19]
Computed, not measured: a relaxed structure of Ac7La3Tb at the PBE level of DFT.

The structure in extended XYZ format:
```
11
Lattice="6.2054 -5.6105 0.0000 6.2054 5.6105 0.0000 -0.6683 0.0000 6.9169" Properties=species:S:1:pos:R:3 pbc="T T T"
Ac 0.0000 0.0000 0.0000
Ac 2.8687 1.9049 1.8002
Ac 2.7293 0.0000 5.3418
Ac 2.8687 -1.9049 1.8002
Ac 8.8738 1.9049 5.1167
Ac 9.0132 0.0000 1.5750
Ac 8.8738 -1.9049 5.1167
La 6.2054 1.8414 0.0000
La 5.8713 0.0000 3.4584
La 6.2054 -1.8414 0.0000
Tb -0.3341 0.0000 3.4584
```

Calculated values
density of states at the Fermi level: 18.7 states/eV/f.u.
energy: -4.13 eV per atom
E_form: 0.25 eV per atom

[20]
Computed, not measured: a relaxed structure of AcLa3Tb at the PBE level of DFT.

The structure in extended XYZ format:
```
10
Lattice="3.7725 0.0000 0.0000 0.0111 9.6177 0.0000 0.0059 4.7784 10.6338" Properties=species:S:1:pos:R:3 pbc="T T T"
Ac 0.0103 4.2782 5.3079
Ac 3.7793 10.1179 5.3259
La 1.8955 10.2351 1.8777
La 1.8921 4.1909 1.8676
La 1.8939 7.1874 7.0026
La 1.8956 7.2087 3.6312
La 1.8974 10.2052 8.7662
La 1.8941 4.1610 8.7561
Tb 3.7807 7.1795 9.9964
Tb 0.0088 7.2166 0.6374
```

Calculated values
density of states at the Fermi level: 8.9 states/eV/f.u.
energy: -4.62 eV per atom
E_form: 0.09 eV per atom